Record 1
Below is a relaxed structure of Tc2PdRhN, with properties calculated at the PBE level.

- crystal system = tetragonal
- DFT total energy (eV/atom) = -8.219

Cell: 4.0177 4.0177 4.1222 Å, 90.00 90.00 90.00°
Closest atoms and distances in Å follow each position.
Space group P4/mmm (No. 123)
Inequivalent atoms, fractional coordinates:
Tc (0.0000, 0.5000, 0.0000)  2 N 2.01
Pd (0.0000, 0.0000, 0.5000)  4 Rh 2.84, 8 Tc 2.88
Rh (0.5000, 0.5000, 0.5000)  2 N 2.06
N (0.5000, 0.5000, 0.0000)  4 Tc 2.01, 2 Rh 2.06

---

Record 2
Below is a relaxed structure of MnPt2W, with properties calculated at the PBE level.

- E_form (meV/atom) = -123
- crystal system = trigonal

Cell: 2.8037 2.8037 26.9440 Å, 90.00 90.00 120.00°
Closest atoms and distances in Å follow each position.
Space group R-3m (No. 166, hexagonal axes)
Inequivalent atoms, fractional coordinates:
Mn (0.0000, 0.0000, 0.0000)  6 Pt 2.73, 6 Mn 2.80
Pt (0.0000, 0.0000, 0.2520)  3 Mn 2.73, 6 Pt 2.80, 3 W 2.81
W (0.0000, 0.0000, 0.5000)  6 W 2.80, 6 Pt 2.81

---

Record 3
Below is a relaxed structure of Bi2IF2, with properties calculated at the PBE level.

- crystal system = tetragonal
- DFT total energy (eV/atom) = -3.677

Cell: 6.2728 6.2728 15.6766 Å, 90.00 90.00 90.00°
Closest atoms and distances in Å follow each position.
Space group I4_1md (No. 109)
Inequivalent atoms, fractional coordinates:
Bi (0.0000, 0.2383, 0.0000)  1 F 2.23
I (0.0000, 0.0000, 0.5273)  6 Bi 3.57-3.86, 4 F 3.86
F (0.0000, 0.2819, 0.1412)  1 Bi 2.23

---

Record 4
Below is a relaxed structure of Tl8Se4I, with properties calculated at the PBE level.

- crystal system = cubic
- DFT total energy (eV/atom) = -2.982

Cell: 13.2830 13.2830 13.2830 Å, 90.00 90.00 90.00°
Closest atoms and distances in Å follow each position.
Space group F-43m (No. 216)
Inequivalent atoms, fractional coordinates:
Tl (0.1047, 0.1047, 0.1047)  3 Se 3.16, 1 I 3.34
Tl (0.1390, 0.1390, 0.6390)  3 Se 3.07
Se (0.1301, 0.1301, 0.8699)  6 Tl 3.07-3.16
I (0.2500, 0.2500, 0.2500)  4 Tl 3.34

---

Record 5
Below is a relaxed structure of ZrGePt3, with properties calculated at the PBE level.

- E_form (meV/atom) = 40
- crystal system = cubic

Cell: 4.6401 4.6401 4.6401 Å, 90.00 90.00 90.00°
Closest atoms and distances in Å follow each position.
Space group Pm-3m (No. 221)
Inequivalent atoms, fractional coordinates:
Zr (0.0000, 0.0000, 0.0000)  12 Pt 3.28
Ge (0.5000, 0.5000, 0.5000)  6 Pt 2.32
Pt (0.0000, 0.5000, 0.5000)  2 Ge 2.32